(1)
This record from Alexandria via LeMat-Bulk describes a relaxed NbTlCu2Cl8 crystal. The functional is GGA-PBE.

a = 7.347 Å, b = 6.899 Å, c = 8.401 Å
α = 93.81°, β = 92.82°, γ = 55.32°
Last column: magnetic moment on the atom in μB.
Atoms (fractional coordinates):
1 Cl 0.760 0.387 0.895  0.00
2 Cl 0.240 0.613 0.105  0.00
3 Cl 0.345 0.396 0.549  0.00
4 Cl 0.862 0.849 0.806  0.00
5 Cl 0.286 0.918 0.818  0.00
6 Cl 0.714 0.082 0.182  0.00
7 Cl 0.138 0.151 0.194  0.00
8 Cl 0.655 0.604 0.451  0.00
9 Nb 0.000 0.000 0.000  -0.13
10 Cu 0.533 0.537 0.677  0.02
11 Cu 0.467 0.463 0.323  0.02
12 Tl 0.000 0.000 0.500  0.00

Properties
V = 29.11 A^3/atom
DFT total energy = -46.4 eV for the cell shown
E_form (uncorrected) = -0.913 eV/atom


(2)
This record from Alexandria via LeMat-Bulk describes a relaxed Nd7CuCl12 crystal. The functional is GGA-PBE.

a = 9.667 Å, b = 9.163 Å, c = 9.163 Å
α = 108.33°, β = 110.59°, γ = 110.59°
Atoms (fractional coordinates):
1 Cl 0.389 0.224 0.909
2 Cl 0.692 0.614 0.478
3 Cl 0.214 0.522 0.135
4 Cl 0.834 0.314 0.224
5 Cl 0.520 0.909 0.686
6 Cl 0.166 0.686 0.776
7 Cl 0.786 0.478 0.865
8 Cl 0.079 0.865 0.386
9 Cl 0.480 0.091 0.314
10 Cl 0.611 0.776 0.091
11 Cl 0.921 0.135 0.614
12 Cl 0.308 0.386 0.522
13 Nd 0.126 0.790 0.088
14 Nd 0.962 0.088 0.297
15 Nd 0.874 0.210 0.912
16 Nd 0.335 0.297 0.210
17 Nd 0.500 0.000 0.000
18 Nd 0.038 0.912 0.703
19 Nd 0.665 0.703 0.790
20 Cu 0.000 0.000 0.000

Properties
V = 30.80 A^3/atom
DFT total energy = -96.3 eV for the cell shown
E_form (uncorrected) = -1.835 eV/atom


(3)
This record from Alexandria via LeMat-Bulk describes a relaxed Nd4CuCl5 crystal. The functional is GGA-PBE.

a = 3.980 Å, b = 8.477 Å, c = 9.209 Å
α = 102.19°, β = 102.48°, γ = 90.00°
Atoms (fractional coordinates):
1 Nd 0.003 0.234 0.005
2 Nd 0.997 0.766 0.995
3 Nd 0.661 0.077 0.322
4 Nd 0.339 0.923 0.678
5 Cl 0.500 0.500 0.000
6 Cl 0.833 0.678 0.665
7 Cl 0.832 0.171 0.664
8 Cl 0.167 0.322 0.335
9 Cl 0.168 0.829 0.336
10 Cu 0.500 0.000 0.000

Properties
V = 29.62 A^3/atom
DFT total energy = -47.8 eV for the cell shown
E_form (uncorrected) = -1.541 eV/atom


| no. | magnetic moment (Bohr magnetons per cell) |
| --- | --- |
| 1 | 0.1 |
| 2 | 0.0 |
| 3 | 0.0 |